Below is DyHoInPd after structural relaxation, with properties calculated at the PBE level.

Computed properties:
- SG = F-43m, No. 216
- DOS at the Fermi energy (states/eV per cell) = 3.52
- energy relative to the elements (eV per atom) = -0.608
- total energy (eV/atom) = -4.89

Structure (POSCAR):
```
DyHoInPd
1.0
-3.9653 -3.1015 1.0716
-0.9427 -4.0933 -2.9745
0.8574 -4.7439 1.8033
In Pd Dy Ho
1 1 1 1
Cartesian
-2.0253 -5.9693 -0.0498
0.0000 0.0000 0.0000
-3.0380 -8.9540 -0.0747
-1.0127 -2.9847 -0.0249
```

=====

Below is Er9Sc4Cd11 after structural relaxation, with properties calculated at the PBE level.

Computed properties:
- SG = Cmmm, No. 65
- DOS at the Fermi energy (states/eV per cell) = 22.76
- energy relative to the elements (eV per atom) = -0.220
- total energy (eV/atom) = -3.41

Structure (POSCAR):
```
Er9Sc4Cd11
1.0
3.4466 0.0000 0.0000
0.0000 12.6259 -5.1353
0.0000 0.2396 13.6282
Sc Er Cd
4 9 11
Cartesian
1.7233 7.2446 7.2879
1.7233 9.5486 3.7977
1.7233 3.3169 4.6952
1.7233 5.6209 1.2050
1.7233 10.2188 8.9837
1.7233 2.6467 -0.4908
1.7233 10.8572 0.7019
1.7233 0.5888 2.6267
1.7233 6.4328 4.2464
1.7233 2.0083 7.7909
1.7233 4.9122 9.7079
1.7233 12.2767 5.8662
1.7233 7.9533 -1.2150
0.0000 8.1223 1.6871
0.0000 0.0000 0.0000
0.0000 10.5590 -2.0043
0.0000 5.2421 -1.3230
0.0000 7.6234 9.8158
0.0000 2.3065 10.4972
0.0000 0.8435 5.3402
0.0000 9.5018 6.2724
0.0000 4.7432 6.8058
0.0000 12.0220 3.1526
0.0000 3.3637 2.2205
```

=====

Below is ScAl2W after structural relaxation, with properties calculated at the PBE level.

Computed properties:
- SG = Cmmm, No. 65
- DOS at the Fermi energy (states/eV per cell) = 2.07
- energy relative to the elements (eV per atom) = -0.135
- total energy (eV/atom) = -6.83

Structure (POSCAR):
```
ScAl2W
1.0
-5.4333 -0.6855 -3.2435
2.4844 -4.0205 1.6805
-2.2918 -0.7866 1.5006
Al Sc W
2 1 1
Cartesian
0.0000 0.0000 0.0000
-3.8625 -0.7361 -0.8715
0.0963 -2.4036 1.5906
-1.4744 -2.3530 -0.7815
```

=====

Below is Pu2AlIr2 after structural relaxation, with properties calculated at the PBE level.

Computed properties:
- SG = C2/c, No. 15
- DOS at the Fermi energy (states/eV per cell) = 30.40
- energy relative to the elements (eV per atom) = -0.622
- total energy (eV/atom) = -10.65

Structure (POSCAR):
```
Pu2AlIr2
1.0
5.5469 0.2441 1.0354
2.6551 4.8763 1.0354
0.2592 0.1618 7.7706
Ir Al Pu
4 2 4
Cartesian
1.9732 3.5540 0.8096
4.2721 4.9891 5.1464
6.4880 1.7282 9.0317
4.1891 0.2931 4.6949
3.1137 4.2859 2.9780
5.3475 0.9963 6.8633
5.0896 4.1306 7.9640
3.3716 1.1517 1.8773
2.6448 2.6043 5.7626
5.8164 2.6779 4.0787
```

=====

Below is CrTcIr2 after structural relaxation, with properties calculated at the PBE level.

Computed properties:
- SG = Fm-3m, No. 225
- DOS at the Fermi energy (states/eV per cell) = 7.40
- energy relative to the elements (eV per atom) = 0.404
- total energy (eV/atom) = -9.02

Structure (POSCAR):
```
CrTcIr2
1.0
0.0449 -3.1897 2.9185
-3.3689 -0.5495 2.6539
-2.6042 -3.4164 -0.4911
Ir Tc Cr
2 1 1
Cartesian
-1.4820 -1.7889 1.2703
-4.4461 -5.3667 3.8110
-2.9641 -3.5778 2.5406
0.0000 0.0000 0.0000
```

=====

Below is PrNd4DyHo2 after structural relaxation, with properties calculated at the PBE level.

Computed properties:
- SG = P2/m, No. 10
- DOS at the Fermi energy (states/eV per cell) = 11.08
- energy relative to the elements (eV per atom) = 0.016
- total energy (eV/atom) = -4.68

Structure (POSCAR):
```
PrNd4DyHo2
1.0
3.6418 0.0000 0.0000
0.0000 6.2768 -0.0890
0.0000 2.2858 11.7674
Ho Nd Dy Pr
2 4 1 1
Cartesian
0.0000 2.2858 11.7674
1.8209 1.1429 5.8837
1.8210 5.2783 2.8327
0.0001 6.4310 8.7737
1.8210 3.2843 8.8457
3.6418 2.1316 2.9047
1.8210 5.4242 11.7229
0.0000 4.2813 5.8392
```

=====

Below is LiTeI2N after structural relaxation, with properties calculated at the PBE level.

Computed properties:
- raw formation energy (kJ/mol of formula units) = 424
- SG = P4/mmm, No. 123
- DOS at the Fermi energy (states/eV per cell) = 6.15
- total energy (eV/atom) = -2.42

Structure (POSCAR):
```
LiTeI2N
1.0
5.5400 0.0000 0.0000
0.0000 5.5400 0.0000
0.0000 0.0000 3.8501
Li I Te N
1 2 1 1
Cartesian
0.0000 0.0000 0.0000
0.0000 2.7700 0.0000
2.7700 0.0000 0.0000
2.7700 2.7700 1.9251
0.0000 0.0000 1.9251
```

=====

Below is UBeNi4 after structural relaxation, with properties calculated at the PBE level.

Computed properties:
- SG = F-43m, No. 216
- DOS at the Fermi energy (states/eV per cell) = 5.30
- energy relative to the elements (eV per atom) = -0.163
- total energy (eV/atom) = -6.52

Structure (POSCAR):
```
UBeNi4
1.0
-3.1024 -0.9612 3.5184
-2.3584 -4.1671 0.0404
1.0589 -3.3185 3.2855
Ni Be U
4 1 1
Cartesian
-3.2941 -3.6124 2.6251
-1.1875 -4.8058 2.5072
-1.5642 -3.1829 4.2679
-2.7581 -5.2924 4.2883
0.0000 0.0000 0.0000
-1.1005 -2.1117 1.7111
```

=====

Below is U4V after structural relaxation, with properties calculated at the PBE level.

Computed properties:
- SG = Pm-3m, No. 221
- DOS at the Fermi energy (states/eV per cell) = 21.45
- energy relative to the elements (eV per atom) = 1.091
- total energy (eV/atom) = -9.76

Structure (POSCAR):
```
U4V
1.0
4.9312 0.0000 0.0000
0.0000 4.9312 0.0000
0.0000 0.0000 4.9312
U V
4 1
Cartesian
0.0000 2.4656 2.4656
2.4656 2.4656 0.0000
2.4656 0.0000 2.4656
0.0000 0.0000 0.0000
2.4656 2.4656 2.4656
```

=====

Below is VFe2B after structural relaxation, with properties calculated at the PBE level.

Computed properties:
- SG = P4/mmm, No. 123
- DOS at the Fermi energy (states/eV per cell) = 0.40
- energy relative to the elements (eV per atom) = -0.092
- total energy (eV/atom) = -8.27

Structure (POSCAR):
```
VFe2B
1.0
-1.1154 -2.3695 -1.1780
3.1144 -0.5373 -1.8680
1.3209 -2.0031 2.7785
B V Fe
1 1 2
Cartesian
-0.5577 -1.1847 -0.5890
1.6600 -2.4550 -0.1337
0.6605 -1.0016 1.3893
1.5572 -0.2687 -0.9340
```

=====

Below is Mg4TaSb after structural relaxation, with properties calculated at the PBE level.

Computed properties:
- raw formation energy (kJ/mol of formula units) = 243
- SG = F-43m, No. 216
- DOS at the Fermi energy (states/eV per cell) = 4.91
- total energy (eV/atom) = -3.31

Structure (POSCAR):
```
Mg4TaSb
1.0
0.0000 3.9961 3.9961
3.9961 0.0000 3.9961
3.9961 3.9961 0.0000
Mg Sb Ta
4 1 1
Cartesian
2.9886 2.9886 2.9886
5.0036 2.9886 5.0036
5.0036 5.0036 2.9886
2.9886 5.0036 5.0036
5.9941 5.9941 5.9941
0.0000 0.0000 0.0000
```

=====

Below is CsHgBr4 after structural relaxation, with properties calculated at the PBE level.

Computed properties:
- raw formation energy (kJ/mol of formula units) = -427
- SG = C2/m, No. 12
- DOS at the Fermi energy (states/eV per cell) = 3.80
- total energy (eV/atom) = -2.04

Structure (POSCAR):
```
CsHgBr4
1.0
-5.4482 -6.6652 1.7477
0.1902 -1.8002 -6.2701
12.7999 2.0264 3.2024
Br Cs Hg
8 2 2
Cartesian
7.3961 -5.0594 3.4847
0.2487 -5.3252 -3.6365
7.2932 -1.1138 2.3166
4.0009 -3.8864 1.2365
0.1459 -1.3795 -4.8046
3.5410 -2.5525 -2.5564
0.1492 -4.3838 -0.3577
7.3927 -2.0552 -0.9623
3.6507 -6.2120 -1.5029
3.8912 -0.2270 0.1830
0.9238 -2.8756 -2.5432
6.6181 -3.5634 1.2232
```